No. 1
An optimized crystal structure of HoV2Pd9, computed with PBE-GGA.

```
HoV2Pd9
1.0
-2.958 -1.653 2.068
1.285 -3.608 -1.046
6.943 -0.329 9.666
Ho V Pd
1 2 9
direct
0.000 0.000 0.000 Ho
0.000 0.000 0.336 V
0.000 0.000 0.664 V
0.500 0.500 0.000 Pd
0.500 0.500 0.340 Pd
0.500 0.500 0.660 Pd
0.500 0.000 0.182 Pd
0.500 0.000 0.500 Pd
0.500 0.000 0.818 Pd
0.000 0.500 0.182 Pd
0.000 0.500 0.500 Pd
0.000 0.500 0.818 Pd
```

Output
* energy of formation from the pure elements: -0.44 eV/atom
* space group: P4/mmm (123)

No. 2
An optimized crystal structure of Nd5Ho4Pu, computed with PBE-GGA.

```
Nd5Ho4Pu
1.0
-1.339 -1.331 -3.005
10.180 1.386 -5.149
0.382 -7.076 5.059
Nd Ho Pu
5 4 1
direct
0.210 0.614 0.421 Nd
0.186 0.078 0.372 Nd
0.814 0.922 0.628 Nd
0.500 0.500 0.000 Nd
0.790 0.386 0.579 Nd
0.605 0.800 0.209 Ho
0.919 0.712 0.837 Ho
0.395 0.200 0.791 Ho
0.081 0.288 0.163 Ho
0.500 0.000 0.000 Pu
```

Output
* energy of formation from the pure elements: 0.06 eV/atom
* space group: C2/m (12)

No. 3
An optimized crystal structure of Li2GaSi, computed with PBE-GGA.

```
Li2GaSi
1.0
-0.627 4.060 -0.349
-0.480 -0.397 -3.749
-3.725 -0.530 0.533
Si Ga Li
1 1 2
direct
0.500 0.000 0.000 Si
0.500 0.500 0.500 Ga
0.000 0.000 0.500 Li
0.000 0.500 0.000 Li
```

Output
* E above lowest polymorph: 0.0 meV/atom
* raw formation energy: -0.208 eV/atom
* space group: P4/mmm (123)

No. 4
An optimized crystal structure of Ba2SrSc2, computed with PBE-GGA.

```
Ba2SrSc2
1.0
10.442 0.000 0.000
0.000 10.442 0.000
0.000 0.000 3.964
Sc Sr Ba
4 2 4
direct
0.397 0.897 0.000 Sc
0.897 0.603 0.000 Sc
0.603 0.103 0.000 Sc
0.103 0.397 0.000 Sc
0.000 0.000 0.000 Sr
0.500 0.500 0.000 Sr
0.185 0.685 0.500 Ba
0.685 0.815 0.500 Ba
0.815 0.315 0.500 Ba
0.315 0.185 0.500 Ba
```

Output
* E above lowest polymorph: 45.7 meV/atom
* energy of formation from the pure elements: 0.38 eV/atom
* space group: P4/mbm (127)

No. 5
An optimized crystal structure of SbAsSe2Br, computed with PBE-GGA.

```
SbAsSe2Br
1.0
5.145 0.000 0.000
0.000 5.145 0.000
0.000 0.000 5.045
Sb As Se Br
1 1 2 1
direct
0.500 0.500 0.500 Sb
0.000 0.000 0.000 As
0.000 0.500 0.000 Se
0.500 0.000 0.000 Se
0.000 0.000 0.500 Br
```

Output
* E above lowest polymorph: 0.0 meV/atom
* raw formation energy: 0.337 eV/atom
* space group: P4/mmm (123)

No. 6
An optimized crystal structure of DyY3Sb4, computed with PBE-GGA.

```
DyY3Sb4
1.0
-3.988 4.752 -0.008
-0.682 -0.561 6.140
4.703 3.948 0.883
Dy Y Sb
1 3 4
direct
0.000 0.000 0.000 Dy
0.000 0.500 0.500 Y
0.500 0.000 0.500 Y
0.500 0.500 0.000 Y
0.500 0.000 0.000 Sb
0.000 0.500 0.000 Sb
0.000 0.000 0.500 Sb
0.500 0.500 0.500 Sb
```

Output
* raw formation energy: -1.163 eV/atom
* space group: Pm-3m (221)

No. 7
An optimized crystal structure of ScCuPd2, computed with PBE-GGA.

```
ScCuPd2
1.0
-0.814 -3.953 -1.908
0.003 -3.716 2.474
-3.834 -2.132 0.830
Sc Cu Pd
1 1 2
direct
0.000 0.000 0.000 Sc
0.500 0.500 0.500 Cu
0.250 0.250 0.250 Pd
0.750 0.750 0.750 Pd
```

Output
* energy of formation from the pure elements: -0.63 eV/atom
* space group: Fm-3m (225)

No. 8
An optimized crystal structure of NaMg2Sc2, computed with PBE-GGA.

```
NaMg2Sc2
1.0
9.118 0.000 0.000
0.000 9.118 0.000
0.000 0.000 3.237
Sc Na Mg
4 2 4
direct
0.382 0.882 0.000 Sc
0.882 0.618 0.000 Sc
0.618 0.118 0.000 Sc
0.118 0.382 0.000 Sc
0.000 0.000 0.000 Na
0.500 0.500 0.000 Na
0.174 0.674 0.500 Mg
0.674 0.826 0.500 Mg
0.826 0.326 0.500 Mg
0.326 0.174 0.500 Mg
```

Output
* energy of formation from the pure elements: 0.20 eV/atom
* space group: P4/mbm (127)

Which final energy belongs to each record? In order, -6.241 -5.583 -3.277 -3.263 -3.146 -6.223 -5.838 -3.239 eV/atom.